Entry from Alexandria via LeMat-Bulk: a relaxed structure of Tb3InCo (PBE).

Output
**Volume**: 26.39 Å³/atom
**Formation energy**: -0.244 eV per atom
**Polymorph energy (0 for the lowest one)**: 16.4 meV per atom
**VASP energy**: -99.819 eV/cell

a b c (Å): 11.787 5.375 9.010
angles (deg): 90.00 112.41 90.00
Space group C2/m (No. 12)
One atom of each set of equivalent atoms:
Tb 0.109 0.000 0.219 x4
Tb 0.121 0.500 0.915 x4
Tb 0.154 0.000 0.658 x4
In 0.105 0.500 0.446 x4
Co 0.134 0.000 0.940 x4

Entry from Alexandria via LeMat-Bulk: a relaxed structure of Tb4InCo (PBE).

Output
**Volume**: 25.89 Å³/atom
**Formation energy**: -0.299 eV per atom
**Polymorph energy (0 for the lowest one)**: 0.0 meV per atom
**VASP energy**: -482.537 eV/cell

a b c (Å): 13.545 13.545 13.545
angles (deg): 90.00 90.00 90.00
Space group F-43m (No. 216)
One atom of each set of equivalent atoms:
Tb 0.000 0.000 0.189 x24
Tb 0.060 0.250 0.250 x24
Tb 0.097 0.097 0.597 x16
In 0.168 0.168 0.832 x16
Co 0.110 0.110 0.390 x16

Entry from Alexandria via LeMat-Bulk: a relaxed structure of Tb6In3Co (PBE).

Output
**Volume**: 26.39 Å³/atom
**Formation energy**: -0.290 eV per atom
**Polymorph energy (0 for the lowest one)**: 0.0 meV per atom
**VASP energy**: -92.014 eV/cell

a b c (Å): 9.244 5.279 11.410
angles (deg): 90.00 108.58 90.00
Space group P2_1/m (No. 11)
One atom of each set of equivalent atoms:
Tb 0.044 0.250 0.418 x2
Tb 0.195 0.750 0.166 x2
Tb 0.284 0.250 0.005 x2
Tb 0.351 0.750 0.833 x2
Tb 0.375 0.250 0.349 x2
Tb 0.394 0.250 0.653 x2
In 0.011 0.750 0.878 x2
In 0.092 0.250 0.721 x2
In 0.273 0.750 0.477 x2
Co 0.463 0.750 0.092 x2

Entry from Alexandria via LeMat-Bulk: a relaxed structure of Tb4In2Co (PBE).

Output
**Volume**: 28.73 Å³/atom
**Formation energy**: -0.175 eV per atom
**Polymorph energy (0 for the lowest one)**: 27.5 meV per atom
**VASP energy**: -64.663 eV/cell

a b c (Å): 5.007 5.007 16.046
angles (deg): 90.00 90.00 90.00
Space group I4/mmm (No. 139)
One atom of each set of equivalent atoms:
Tb 0.000 0.000 0.173 x4
Tb 0.000 0.500 0.000 x4
In 0.000 0.000 0.366 x4
Co 0.000 0.000 0.000 x2

Entry from Alexandria via LeMat-Bulk: a relaxed structure of Tb4InCo (PBE).

Output
**Volume**: 27.05 Å³/atom
**Formation energy**: -0.247 eV per atom
**Polymorph energy (0 for the lowest one)**: 52.3 meV per atom
**VASP energy**: -119.380 eV/cell

a b c (Å): 8.810 12.765 6.043
angles (deg): 90.00 107.22 90.00
Space group C2/c (No. 15)
One atom of each set of equivalent atoms:
Tb 0.108 0.162 0.046 x8
Tb 0.216 0.418 0.391 x8
In 0.000 0.376 0.750 x4
Co 0.000 0.000 0.250 x4

Entry from Alexandria via LeMat-Bulk: a relaxed structure of Tb5InCo (PBE).

Output
**Volume**: 28.19 Å³/atom
**Formation energy**: -0.097 eV per atom
**VASP energy**: -134.692 eV/cell

a b c (Å): 10.929 6.829 11.292
angles (deg): 90.00 110.48 90.00
Space group C2/c (No. 15)
One atom of each set of equivalent atoms:
Tb 0.000 0.018 0.250 x4
Tb 0.121 0.320 0.046 x8
Tb 0.214 0.189 0.637 x8
In 0.000 0.470 0.750 x4
Co 0.000 0.000 0.000 x4

no.,N(E_F) (states/eV/cell)
1,17.01
2,71.19
3,17.26
4,14.48
5,23.01
6,29.71